No. 1
The following is a GGA-PBE calculation of crystalline Rb4ZnAu2 at its relaxed geometry, from Alexandria via LeMat-Bulk.

Its formation energy is -171.4 meV/atom. The value obtained for the final energy is -1.84 eV/atom.

The space group is R-3m (No. 166, hexagonal axes) and the conventional cell measures 5.9581, 5.9581 and 30.4519 Å, with angles of 90.00, 90.00 and 120.00 degrees. The distinct sites, in fractional coordinates, are Rb at (0.0000, 0.0000, 0.1192), Rb at (0.0000, 0.0000, 0.2922), Zn at (0.0000, 0.0000, 0.5000) and Au at (0.0000, 0.0000, 0.4139).



No. 2
The following is a GGA-PBE calculation of crystalline Rb2Mo2I at its relaxed geometry, from Alexandria via LeMat-Bulk.

The value obtained for the final energy is -4.00 eV/atom.

The space group is I4/mmm (No. 139) and the conventional cell measures 7.275, 7.275 and 8.837 Å, with angles of 90.00, 90.00 and 90.00 degrees. The distinct sites, in fractional coordinates, are Rb at (0.000, 0.500, 0.250), Mo at (0.000, 0.000, 0.114) and I at (0.000, 0.000, 0.500).



No. 3
The following is a GGA-PBE calculation of crystalline NaCd4Rh at its relaxed geometry, from Alexandria via LeMat-Bulk.

Its formation energy is -83.3 meV/atom. The value obtained for the final energy is -2.14 eV/atom.

The space group is Pmma (No. 51) and the conventional cell measures 9.010, 4.135 and 7.448 Å, with angles of 90.00, 90.00 and 90.00 degrees. The distinct sites, in fractional coordinates, are Na at (0.250, 0.000, 0.104), Cd at (0.000, 0.000, 0.500), Cd at (0.068, 0.500, 0.822), Cd at (0.250, 0.500, 0.441) and Rh at (0.250, 0.000, 0.697).



No. 4
The following is a GGA-PBE calculation of crystalline PuCuGe at its relaxed geometry, from Alexandria via LeMat-Bulk.

Its formation energy is -161.6 meV/atom. The value obtained for the final energy is -7.84 eV/atom.

The space group is P2_1/m (No. 11) and the conventional cell measures 4.012, 3.524 and 7.132 Å, with angles of 90.00, 99.17 and 90.00 degrees. The distinct sites, in fractional coordinates, are Pu at (0.123, 0.250, 0.095), Cu at (0.237, 0.750, 0.483) and Ge at (0.330, 0.250, 0.729).



No. 5
The following is a GGA-PBE calculation of crystalline La6CeSmHo2 at its relaxed geometry, from Alexandria via LeMat-Bulk.

Its formation energy is 221.9 meV/atom. The value obtained for the final energy is -4.72 eV/atom.

The space group is C2/m (No. 12) and the conventional cell measures 12.239, 6.867 and 9.026 Å, with angles of 90.00, 110.17 and 90.00 degrees. The distinct sites, in fractional coordinates, are La at (0.147, 0.241, 0.308), La at (0.164, 0.000, 0.917), Ce at (0.000, 0.000, 0.500), Sm at (0.000, 0.500, 0.000) and Ho at (0.102, 0.500, 0.678).



No. 6
The following is a GGA-PBE calculation of crystalline SnAuS2 at its relaxed geometry, from Alexandria via LeMat-Bulk.

The value obtained for the final energy is -3.97 eV/atom.

The space group is Pmn2_1 (No. 31) and the conventional cell measures 4.661, 8.006 and 5.555 Å, with angles of 90.00, 90.00 and 90.00 degrees. The distinct sites, in fractional coordinates, are Sn at (0.000, 0.128, 0.000), Au at (0.000, 0.634, 0.874), S at (0.000, 0.384, 0.255) and S at (0.000, 0.884, 0.309).



No. 7
The following is a GGA-PBE calculation of crystalline LiUSe3 at its relaxed geometry, from Alexandria via LeMat-Bulk.

The value obtained for the final energy is -5.73 eV/atom.

The space group is Pmc2_1 (No. 26) and the conventional cell measures 3.993, 8.525 and 7.059 Å, with angles of 90.00, 90.00 and 90.00 degrees. The distinct sites, in fractional coordinates, are Li at (0.000, 0.147, 0.000), U at (0.500, 0.380, 0.558), Se at (0.000, 0.146, 0.612), Se at (0.000, 0.454, 0.862) and Se at (0.500, 0.268, 0.196).



No. 8
The following is a GGA-PBE calculation of crystalline InTcIr2C at its relaxed geometry, from Alexandria via LeMat-Bulk.

Its formation energy is 701.3 meV/atom. The value obtained for the final energy is -7.31 eV/atom.

The space group is P4/mmm (No. 123) and the conventional cell measures 3.966, 3.966 and 4.839 Å, with angles of 90.00, 90.00 and 90.00 degrees. The distinct sites, in fractional coordinates, are In at (0.000, 0.000, 0.000), Tc at (0.500, 0.500, 0.000), Ir at (0.000, 0.500, 0.500) and C at (0.000, 0.000, 0.500).



Number 6 is which compound?
SnAuS2



final energy of number 7 (LiUSe3)?
-5.73 eV/atom